A plane-wave DFT calculation with GGA-PBE was carried out for a relaxed structure of NbCl.

```
NbCl
1.0
7.424 0.000 0.000
0.000 10.553 0.000
0.000 0.000 8.816
Nb Cl
16 16
Direct
0.000 0.623 0.000
0.000 0.377 0.000
0.250 0.127 0.250
0.250 0.373 0.250
0.000 0.123 0.500
0.000 0.877 0.500
0.250 0.627 0.750
0.250 0.873 0.750
0.500 0.623 0.500
0.500 0.377 0.500
0.750 0.127 0.750
0.750 0.373 0.750
0.500 0.123 0.000
0.500 0.877 0.000
0.750 0.627 0.250
0.750 0.873 0.250
0.208 0.000 0.000
0.792 0.000 0.000
0.042 0.750 0.250
0.458 0.750 0.250
0.208 0.500 0.500
0.792 0.500 0.500
0.042 0.250 0.750
0.458 0.250 0.750
0.708 0.000 0.500
0.292 0.000 0.500
0.542 0.750 0.750
0.958 0.750 0.750
0.708 0.500 0.000
0.292 0.500 0.000
0.542 0.250 0.250
0.958 0.250 0.250
```

Results
- Symmetry: Fddd, No. 70
- Raw formation energy: -0.027 eV/atom